Run A
Tb2Pr2Dy | the Alexandria database | PBE | relaxed; SG = Cmcm
1.0
-5.3831 2.8947 1.5596
-3.1351 -6.1412 0.5773
3.6699 2.7376 7.5859
Tb Pr Dy
4 4 2
direct
0.7500 0.4087 0.3394
0.2500 0.0693 0.6606
0.2500 0.5913 0.6606
0.7500 0.9307 0.3394
0.7500 0.4012 0.8024
0.7500 0.8298 0.6595
0.2500 0.5988 0.1976
0.2500 0.1702 0.3405
0.0000 0.0000 0.0000
0.5000 0.0000 0.0000



Run B
Tb2Pr2Dy | the Alexandria database | PBE | relaxed; SG = C2/c
1.0
-4.5602 4.4424 -0.2722
-7.7593 -3.4782 -1.3590
-7.5069 -2.8006 5.4706
Tb Pr Dy
4 4 2
direct
0.8196 0.2430 0.9514
0.0139 0.2570 0.5486
0.1804 0.7570 0.0486
0.9861 0.7430 0.4514
0.7850 0.7537 0.8485
0.3872 0.7463 0.6515
0.2150 0.2463 0.1515
0.6128 0.2537 0.3485
0.5843 0.7500 0.2500
0.4157 0.2500 0.7500



Name the most stable of them. run B.



Run A
TaSe2N2 | the Alexandria database | PBE | relaxed; SG = P4/mmm
1.0
-3.3603 -1.5876 -1.0492
1.8906 -2.5423 -2.2082
0.2746 -3.0809 3.7821
N Se Ta
2 2 1
direct
0.0000 0.5000 0.0000
0.5000 0.0000 0.0000
0.0000 0.0000 0.0000
0.0000 0.0000 0.5000
0.5000 0.5000 0.5000



Run B
TaSe2N2 | the Alexandria database | PBE | relaxed; SG = P4/mmm
1.0
3.9825 0.0000 0.0000
0.0000 3.9825 0.0000
0.0000 0.0000 5.6227
N Se Ta
2 2 1
direct
0.0000 0.5000 0.0000
0.5000 0.0000 0.0000
0.5000 0.5000 0.5000
0.0000 0.0000 0.5000
0.0000 0.0000 0.0000



Name the most stable of them. run B.